# GaBi2S4, relaxed, DFT PBE-GGA
# Electronic total energy in Ry per atom: -0.313
# Uncorrected formation energy in eV/atom: -0.357
# Relative energy among the computed polymorphs in meV/atom: 0
# Fermi-level density of states in states/eV per cell: 10.1
data_GaBi2S4
_chemical_formula_sum 'Ga8 Bi16 S32'
_space_group_name_H-M_alt 'C 1 2/c 1'
_space_group_IT_number 15
_space_group_name_Hall '-C 2yc'
_cell_length_a 13.953
_cell_length_b 8.062
_cell_length_c 13.816
_cell_angle_alpha 90.00
_cell_angle_beta 109.71
_cell_angle_gamma 90.00
loop_
_atom_site_label
_atom_site_type_symbol
_atom_site_fract_x
_atom_site_fract_y
_atom_site_fract_z
Ga1 Ga 0.188 0.250 0.314
Bi1 Bi 0.000 0.000 0.000
Bi2 Bi 0.000 0.249 0.750
Bi3 Bi 0.000 0.500 0.000
Bi4 Bi 0.250 0.250 0.000
S1 S 0.126 0.494 0.373
S2 S 0.127 0.007 0.374
S3 S 0.127 0.250 0.130
S4 S 0.130 0.250 0.627